Record 1
V2AsPbN (PBE, optimized geometry); M_tot = 3.83 μB per cell; space-group type = P4/mmm; ΔE_f (raw) = 0.252 eV/atom; E = -6.73 eV per atom; N(E_F) = 1.06 states/eV/atom
1.0
4.066 0.000 0.000
0.000 4.066 0.000
0.000 0.000 5.332
V As Pb N
2 1 1 1
Direct
0.000 0.500 0.000
0.500 0.000 0.000
0.000 0.000 0.500
0.500 0.500 0.500
0.500 0.500 0.000

=====

Record 2
YAsPb2N (PBE, optimized geometry); M_tot = 2.72 μB per cell; space-group type = P4/mmm; ΔE_f (raw) = 1.305 eV/atom; E = -4.07 eV per atom; N(E_F) = 0.76 states/eV/atom
1.0
6.031 0.000 0.000
0.000 6.031 0.000
0.000 0.000 5.387
Y As Pb N
1 1 2 1
Direct
0.000 0.000 0.000
0.000 0.000 0.500
0.000 0.500 0.000
0.500 0.000 0.000
0.500 0.500 0.500

=====

Record 3
As3PdN (PBE, optimized geometry); M_tot = 0.00 μB per cell; space-group type = Pm-3m; ΔE_f (raw) = 0.592 eV/atom; E = -4.90 eV per atom; N(E_F) = 0.03 states/eV/atom
1.0
4.309 0.000 0.000
0.000 4.309 0.000
0.000 0.000 4.309
As Pd N
3 1 1
Direct
0.000 0.000 0.500
0.000 0.500 0.000
0.500 0.000 0.000
0.500 0.500 0.500
0.000 0.000 0.000